[1]
# Fe2SiPt PBEsol optimized geometry
data_Fe2SiPt
_symmetry_space_group_name_H-M 'P 4/m m m'
_symmetry_Int_Tables_number 123
_symmetry_space_group_name_Hall '-P 4 2'
_cell_length_a 3.553
_cell_length_b 3.553
_cell_length_c 3.863
_cell_angle_alpha 90.00
_cell_angle_beta 90.00
_cell_angle_gamma 90.00
loop_
_atom_site_label
_atom_site_fract_x
_atom_site_fract_y
_atom_site_fract_z
Fe1 0.000 0.500 0.000
Si1 0.000 0.000 0.500
Pt1 0.500 0.500 0.500
# Energy relative to the elements, uncorrected = -336 meV per atom

[2]
# Tl2FeSi PBEsol optimized geometry
data_Tl2FeSi
_symmetry_space_group_name_H-M 'F m -3 m'
_symmetry_Int_Tables_number 225
_symmetry_space_group_name_Hall '-F 4 2 3'
_cell_length_a 6.848
_cell_length_b 6.848
_cell_length_c 6.848
_cell_angle_alpha 90.00
_cell_angle_beta 90.00
_cell_angle_gamma 90.00
loop_
_atom_site_label
_atom_site_fract_x
_atom_site_fract_y
_atom_site_fract_z
Tl1 0.250 0.250 0.250
Fe1 0.000 0.000 0.000
Si1 0.000 0.000 0.500
# Energy relative to the elements, uncorrected = 817 meV per atom

[3]
# Cd7Cu PBEsol optimized geometry
data_Cd7Cu
_symmetry_space_group_name_H-M 'F m -3 m'
_symmetry_Int_Tables_number 225
_symmetry_space_group_name_Hall '-F 4 2 3'
_cell_length_a 8.534
_cell_length_b 8.534
_cell_length_c 8.534
_cell_angle_alpha 90.00
_cell_angle_beta 90.00
_cell_angle_gamma 90.00
loop_
_atom_site_label
_atom_site_fract_x
_atom_site_fract_y
_atom_site_fract_z
Cd1 0.000 0.000 0.000
Cd2 0.000 0.250 0.250
Cu1 0.000 0.000 0.500
# Energy of formation = 0.07 eV/atom

[4]
# Ni5P6O22 PBEsol optimized geometry
data_Ni5P6O22
_symmetry_space_group_name_H-M 'P 1 21/c 1'
_symmetry_Int_Tables_number 14
_symmetry_space_group_name_Hall '-P 2ybc'
_cell_length_a 12.522
_cell_length_b 6.370
_cell_length_c 10.064
_cell_angle_alpha 90.00
_cell_angle_beta 105.22
_cell_angle_gamma 90.00
loop_
_atom_site_label
_atom_site_fract_x
_atom_site_fract_y
_atom_site_fract_z
Ni1 0.000 0.000 0.000
Ni2 0.135 0.239 0.788
Ni3 0.337 0.017 0.806
P1 0.081 0.734 0.775
P2 0.252 0.097 0.076
P3 0.417 0.719 0.586
O1 0.009 0.222 0.140
O2 0.013 0.206 0.867
O3 0.149 0.540 0.826
O4 0.153 0.576 0.266
O5 0.157 0.560 0.553
O6 0.240 0.231 0.679
O7 0.264 0.194 0.939
O8 0.366 0.512 0.643
O9 0.372 0.592 0.143
O10 0.378 0.712 0.428
O11 0.458 0.199 0.862
# Energy relative to the elements, uncorrected = -1589 meV per atom

[5]
# CaZnCu2 PBEsol optimized geometry
data_CaZnCu2
_symmetry_space_group_name_H-M 'P m m 2'
_symmetry_Int_Tables_number 25
_symmetry_space_group_name_Hall 'P 2 -2'
_cell_length_a 3.089
_cell_length_b 3.319
_cell_length_c 6.396
_cell_angle_alpha 90.00
_cell_angle_beta 90.00
_cell_angle_gamma 90.00
loop_
_atom_site_label
_atom_site_fract_x
_atom_site_fract_y
_atom_site_fract_z
Ca1 0.000 0.000 0.000
Zn1 0.500 0.500 0.676
Cu1 0.000 0.000 0.477
Cu2 0.500 0.500 0.299
# Energy of formation = -0.01 eV/atom

[6]
# ZrIn4As PBEsol optimized geometry
data_ZrIn4As
_symmetry_space_group_name_H-M 'F -4 3 m'
_symmetry_Int_Tables_number 216
_symmetry_space_group_name_Hall 'F -4 2 3'
_cell_length_a 8.141
_cell_length_b 8.141
_cell_length_c 8.141
_cell_angle_alpha 90.00
_cell_angle_beta 90.00
_cell_angle_gamma 90.00
loop_
_atom_site_label
_atom_site_fract_x
_atom_site_fract_y
_atom_site_fract_z
Zr1 0.000 0.000 0.000
In1 0.125 0.125 0.625
As1 0.250 0.250 0.250
# Energy of formation = 0.18 eV/atom